PBE with a Hubbard U Pr2TmVO6, optimized geometry; VASP energy = -164.52 eV for the cell shown; crystal system = monoclinic; V = 272.8 Å³ per cell; N(E_F) = 0.0 states/eV/f.u.
1.0
5.657 0.000 -0.050
0.000 5.882 0.000
-0.019 0.000 8.200
Pr Tm V O
4 2 2 12
direct
0.017 0.943 0.250 Pr
0.517 0.557 0.750 Pr
0.983 0.057 0.750 Pr
0.483 0.443 0.250 Pr
0.500 0.000 0.000 Tm
0.000 0.500 0.500 Tm
0.500 0.000 0.500 V
0.000 0.500 0.000 V
0.291 0.693 0.058 O
0.791 0.807 0.558 O
0.709 0.307 0.942 O
0.209 0.193 0.442 O
0.311 0.709 0.440 O
0.811 0.791 0.940 O
0.689 0.291 0.560 O
0.189 0.209 0.060 O
0.888 0.542 0.242 O
0.388 0.958 0.742 O
0.112 0.458 0.758 O
0.612 0.042 0.258 O